(1)
{"formula": "LiPt3", "functional": "meta-GGA SCAN", "state": "single point on PBEsol structure", "rho_g_cm3": 17.5, "delta_e_f_mev_per_atom": -388, "final_energy_ev_per_fu": -214.5, "total_magnetization_mub_per_atom": 0.000, "cell": [[4.450, 0.000, 0.000], [0.000, 5.404, 0.000], [0.000, -2.702, 4.680]], "species": ["Pt", "Pt", "Pt", "Pt", "Li", "Li", "Pt", "Pt"], "frac_coords": [[0.750, 0.665, 0.833], [0.250, 0.833, 0.167], [0.750, 0.167, 0.833], [0.250, 0.335, 0.167], [0.750, 0.667, 0.333], [0.250, 0.333, 0.667], [0.750, 0.167, 0.335], [0.250, 0.833, 0.665]]}

---

(2)
{"formula": "LiPt2", "functional": "meta-GGA SCAN", "state": "single point on PBEsol structure", "rho_g_cm3": 13.3, "delta_e_f_mev_per_atom": -522, "final_energy_ev_per_fu": -144.3, "total_magnetization_mub_per_atom": 0.000, "relative_energy_ev_per_atom": 0.000, "cell": [[5.192, 0.000, 0.000], [2.596, 4.496, 0.000], [2.596, 1.499, 4.239]], "species": ["Pt", "Li", "Li", "Pt", "Pt", "Pt"], "frac_coords": [[0.125, 0.125, 0.625], [0.500, 0.500, 0.500], [0.750, 0.750, 0.750], [0.625, 0.125, 0.125], [0.125, 0.125, 0.125], [0.125, 0.625, 0.125]]}